Entry 1:
Entry from the Alexandria database: crystalline NaCuBrCl at its relaxed geometry (PBE).

M_tot = 0.0 μB/f.u.
Formation energy without anion corrections = -22.02 kcal/mol of atoms
ρ = 3.2 Mg/m³

Lattice parameters (Å, degrees): 4.301 4.042 5.980 90.00 95.04 90.00
Atoms (fractional coordinates):
Na  0.000  0.000  0.000
Cu  0.787  0.500  0.407
Br  0.501  0.500  0.039
Cl  0.953  0.000  0.532

---

Entry 2:
Entry from the Alexandria database: crystalline NaCuBrCl2 at its relaxed geometry (PBE).

M_tot = 0.0 μB/f.u.
Formation energy without anion corrections = -19.48 kcal/mol of atoms
ρ = 3.4 Mg/m³

Lattice parameters (Å, degrees): 4.753 4.753 5.188 90.00 90.00 90.00
Atoms (fractional coordinates):
Na  0.000  0.000  0.000
Cu  0.500  0.500  0.500
Br  0.500  0.500  0.000
Cl  0.000  0.500  0.500
Cl  0.500  0.000  0.500

---

D(E_F): 0.00 1.02 (states/eV per cell)